Density functional theory data (meta-GGA SCAN) for a PBEsol-optimized structure of CoAg2Ir.

Calculated values
The total energy is -37.342 eV per atom. The calculation puts the size of the total moment at 2.9 μB per formula unit. As for the density of states at the Fermi level: 3.17 states/eV/f.u. As for the crystal system: tetragonal. The value obtained for the energy of formation is 0.44 eV per atom.

Unit cell a=4.6543 b=4.6543 c=4.6543 alpha=130.00 beta=130.00 gamma=73.40
Positions (direct):
Co (0.0000, 0.0000, 0.0000)
Ag (0.2500, 0.7500, 0.5000)
Ag (0.5000, 0.5000, 0.0000)
Ir (0.7500, 0.2500, 0.5000)

Density functional theory data (meta-GGA SCAN) for a PBEsol-optimized structure of KCoAg2.

Calculated values
The total energy is -21.696 eV per atom. The calculation puts the size of the total moment at 1.8 μB per formula unit. As for the density of states at the Fermi level: 1.95 states/eV/f.u. As for the crystal system: orthorhombic. The value obtained for the energy of formation is 0.40 eV per atom.

Unit cell a=3.0531 b=3.1576 c=8.1026 alpha=90.00 beta=90.00 gamma=90.00
Positions (direct):
K (0.0000, 0.0000, 0.0000)
Co (0.0000, 0.0000, 0.5000)
Ag (0.5000, 0.5000, 0.3224)
Ag (0.5000, 0.5000, 0.6776)

Density functional theory data (meta-GGA SCAN) for a PBEsol-optimized structure of KCoAg2.

Calculated values
The total energy is -21.439 eV per atom. The calculation puts the size of the total moment at 1.9 μB per formula unit. As for the density of states at the Fermi level: 1.41 states/eV/f.u. As for the crystal system: tetragonal. The value obtained for the energy of formation is 0.65 eV per atom.

Unit cell a=5.1914 b=5.1914 c=2.7481 alpha=90.00 beta=90.00 gamma=90.00
Positions (direct):
K (0.0000, 0.0000, 0.0000)
Co (0.5000, 0.5000, 0.0000)
Ag (0.0000, 0.5000, 0.5000)
Ag (0.5000, 0.0000, 0.5000)

Density functional theory data (meta-GGA SCAN) for a PBEsol-optimized structure of KCoAg.

Calculated values
The total energy is -17.921 eV per atom. The calculation puts the size of the total moment at 2.3 μB per formula unit. As for the density of states at the Fermi level: 4.02 states/eV/f.u. As for the crystal system: cubic. The value obtained for the energy of formation is 1.08 eV per atom.

Unit cell a=4.6632 b=4.6632 c=4.6632 alpha=60.00 beta=60.00 gamma=60.00
Positions (direct):
K (0.0000, 0.0000, 0.0000)
Co (0.7500, 0.7500, 0.7500)
Ag (0.5000, 0.5000, 0.5000)

Density functional theory data (meta-GGA SCAN) for a PBEsol-optimized structure of KCo2Ag.

Calculated values
The total energy is -17.437 eV per atom. The calculation puts the size of the total moment at 3.8 μB per formula unit. As for the density of states at the Fermi level: 3.70 states/eV/f.u. As for the crystal system: tetragonal. The value obtained for the energy of formation is 1.14 eV per atom.

Unit cell a=5.2927 b=5.2927 c=5.2927 alpha=137.15 beta=137.15 gamma=62.20
Positions (direct):
K (0.0000, 0.0000, 0.0000)
Co (0.2500, 0.7500, 0.5000)
Co (0.7500, 0.2500, 0.5000)
Ag (0.5000, 0.5000, 0.0000)

Density functional theory data (meta-GGA SCAN) for a PBEsol-optimized structure of K2CoAg.

Calculated values
The total energy is -15.866 eV per atom. The calculation puts the size of the total moment at 2.1 μB per formula unit. As for the density of states at the Fermi level: 1.50 states/eV/f.u. As for the crystal system: orthorhombic. The value obtained for the energy of formation is 0.47 eV per atom.

Unit cell a=4.5744 b=6.1050 c=6.1050 alpha=49.31 beta=90.00 gamma=90.00
Positions (direct):
K (0.0000, 0.0000, 0.0000)
K (0.5000, 0.2994, 0.2994)
Co (0.5000, 0.6163, 0.6163)
Ag (0.0000, 0.6900, 0.6900)

Density functional theory data (meta-GGA SCAN) for a PBEsol-optimized structure of KCo2Ag.

Calculated values
The total energy is -17.638 eV per atom. The calculation puts the size of the total moment at 3.7 μB per formula unit. As for the density of states at the Fermi level: 2.02 states/eV/f.u. As for the crystal system: orthorhombic. The value obtained for the energy of formation is 0.94 eV per atom.

Unit cell a=5.9246 b=5.9246 c=5.9246 alpha=154.22 beta=130.41 gamma=56.72
Positions (direct):
K (0.0000, 0.0000, 0.0000)
Co (0.2772, 0.7772, 0.5000)
Co (0.7228, 0.2228, 0.5000)
Ag (0.5000, 0.5000, 0.0000)

Density functional theory data (meta-GGA SCAN) for a PBEsol-optimized structure of KCoAgP2.

Calculated values
The total energy is -13.373 eV per atom. The calculation puts the size of the total moment at 2.8 μB per formula unit. As for the density of states at the Fermi level: 3.59 states/eV/f.u. As for the crystal system: tetragonal. The value obtained for the energy of formation is 2.19 eV per atom.

Unit cell a=5.1001 b=5.1001 c=4.9473 alpha=90.00 beta=90.00 gamma=90.00
Positions (direct):
K (0.0000, 0.0000, 0.0000)
Co (0.5000, 0.5000, 0.5000)
Ag (0.0000, 0.0000, 0.5000)
P (0.0000, 0.5000, 0.0000)
P (0.5000, 0.0000, 0.0000)